Below is crystalline Ce4WO10 at its relaxed geometry, with properties calculated at the PBE with a Hubbard U level.

## Properties
energy = -8.4887 eV/atom
magnetization = 3.99 μB/cell
crystal system = tetragonal

a = 8.5146 Å, b = 8.5146 Å, c = 5.3879 Å
α = 90.00°, β = 90.00°, γ = 90.00°
Space group I4/m (No. 87)
Unique sites:
Ce1 0.1008 0.2977 0.0000
W1 0.0000 0.0000 0.5000
O1 0.0000 0.5000 0.2500
O2 0.0981 0.8089 0.2604